Computed, not measured: MoO2F2 after structural relaxation at the GGA+U level of DFT.

Values from the calculation:
* calculated total energy: -59.89 eV per cell

```
data_MoO2F2
_cell_length_a 4.345
_cell_length_b 4.899
_cell_length_c 8.817
_cell_angle_alpha 85.43
_cell_angle_beta 89.93
_cell_angle_gamma 89.81
_symmetry_space_group_name_H-M 'P -1'
_symmetry_Int_Tables_number 2
loop_
_symmetry_equiv_pos_as_xyz
'x,y,z'
'-x,-y,-z'
loop_
_atom_site_label
_atom_site_fract_x
_atom_site_fract_y
_atom_site_fract_z
Mo1 0.005 0.251 0.250
O1 0.234 0.548 0.865
O2 0.234 0.950 0.634
F1 0.229 0.482 0.369
F2 0.230 0.020 0.131
```

Computed, not measured: MoO2F after structural relaxation at the GGA+U level of DFT.

Values from the calculation:
* calculated total energy: -102.54 eV per cell

```
data_MoO2F
_cell_length_a 5.254
_cell_length_b 4.943
_cell_length_c 9.916
_cell_angle_alpha 90.00
_cell_angle_beta 120.30
_cell_angle_gamma 90.00
_symmetry_space_group_name_H-M 'P 1 21/c 1'
_symmetry_Int_Tables_number 14
loop_
_symmetry_equiv_pos_as_xyz
'x,y,z'
'-x,-y,-z'
'-x,y+1/2,-z+1/2'
'x,-y+1/2,z+1/2'
loop_
_atom_site_label
_atom_site_fract_x
_atom_site_fract_y
_atom_site_fract_z
Mo1 0.220 0.019 0.438
O1 0.155 0.203 0.571
O2 0.499 0.747 0.081
F1 0.113 0.746 0.756
```

Computed, not measured: Mo2O3F after structural relaxation at the GGA+U level of DFT.

Values from the calculation:
* calculated total energy: -168.09 eV per cell

```
data_Mo2O3F
_cell_length_a 6.687
_cell_length_b 7.032
_cell_length_c 6.615
_cell_angle_alpha 90.00
_cell_angle_beta 90.00
_cell_angle_gamma 90.00
_symmetry_space_group_name_H-M 'C m c m'
_symmetry_Int_Tables_number 63
_symmetry_space_group_name_Hall '-C 2c 2'
loop_
_atom_site_label
_atom_site_fract_x
_atom_site_fract_y
_atom_site_fract_z
Mo1 0.000 0.000 0.000
Mo2 0.000 0.474 0.250
O1 0.000 0.177 0.250
O2 0.200 0.500 0.000
F1 0.000 0.201 0.750
```